## CeTi2Tc (PBE)

Data for a relaxed structure of CeTi2Tc.

Cell and atoms, written as CIF:
```
data_CeTi2Tc
_chemical_formula_sum 'Ce1 Ti2 Tc1'
_space_group_name_H-M_alt 'P 1'
_space_group_IT_number 1
_space_group_name_Hall 'P 1'
_cell_length_a 2.9928
_cell_length_b 2.9928
_cell_length_c 9.7111
_cell_angle_alpha 81.14
_cell_angle_beta 81.14
_cell_angle_gamma 60.00
loop_
_atom_site_label
_atom_site_fract_x
_atom_site_fract_y
_atom_site_fract_z
_atom_site_occupancy
Tc1 0.5000 0.5000 0.5000 1
Ce1 0.0000 0.0000 0.0000 1
Ti1 0.0997 0.0997 0.7008 1
Ti2 0.9003 0.9003 0.2992 1
```

Computed properties:
Fermi-level density of states in states/eV/atom: 1.12
Space group: R-3m (166)
Energy above the most stable polymorph in this dataset in meV per atom: 224
E_tot in eV/atom: -7.99
Formation enthalpy at 0 K in eV per atom: 0.032



## LuPaHgGe (PBE)

Data for a relaxed structure of LuPaHgGe.

Cell and atoms, written as CIF:
```
data_LuPaHgGe
_chemical_formula_sum 'Lu1 Pa1 Hg1 Ge1'
_space_group_name_H-M_alt 'P 1'
_space_group_IT_number 1
_space_group_name_Hall 'P 1'
_cell_length_a 5.1151
_cell_length_b 5.1151
_cell_length_c 5.1151
_cell_angle_alpha 60.00
_cell_angle_beta 60.00
_cell_angle_gamma 60.00
loop_
_atom_site_label
_atom_site_fract_x
_atom_site_fract_y
_atom_site_fract_z
_atom_site_occupancy
Ge1 0.2500 0.2500 0.2500 1
Pa1 0.0000 0.0000 0.0000 1
Lu1 0.5000 0.5000 0.5000 1
Hg1 0.7500 0.7500 0.7500 1
```

Computed properties:
Fermi-level density of states in states/eV/atom: 1.89
Space group: F-43m (216)
E_tot in eV/atom: -4.94
Formation enthalpy at 0 K in eV per atom: -0.208



## Fe2ReB (PBE)

Data for a relaxed structure of Fe2ReB.

Cell and atoms, written as CIF:
```
data_Fe2ReB
_chemical_formula_sum 'Fe4 Re2 B2'
_space_group_name_H-M_alt 'P 1'
_space_group_IT_number 1
_space_group_name_Hall 'P 1'
_cell_length_a 3.2845
_cell_length_b 3.2845
_cell_length_c 8.5410
_cell_angle_alpha 78.91
_cell_angle_beta 78.91
_cell_angle_gamma 90.00
loop_
_atom_site_label
_atom_site_fract_x
_atom_site_fract_y
_atom_site_fract_z
_atom_site_occupancy
Re1 0.0000 0.0000 0.0000 1
Re2 0.7500 0.2500 0.5000 1
B1 0.5000 0.5000 0.0000 1
B2 0.2500 0.7500 0.5000 1
Fe1 0.5788 0.1250 0.2500 1
Fe2 0.1712 0.6250 0.2500 1
Fe3 0.3750 0.4212 0.7500 1
Fe4 0.8750 0.8288 0.7500 1
```

Computed properties:
Fermi-level density of states in states/eV/atom: 1.47
Space group: I-42d (122)
E_tot in eV/atom: -8.51
Formation enthalpy at 0 K in eV per atom: 0.505



## Zr2HgGe (PBE)

Data for a relaxed structure of Zr2HgGe.

Cell and atoms, written as CIF:
```
data_Zr2HgGe
_chemical_formula_sum 'Zr2 Hg1 Ge1'
_space_group_name_H-M_alt 'P 1'
_space_group_IT_number 1
_space_group_name_Hall 'P 1'
_cell_length_a 3.7724
_cell_length_b 3.7724
_cell_length_c 7.6202
_cell_angle_alpha 75.67
_cell_angle_beta 75.67
_cell_angle_gamma 60.00
loop_
_atom_site_label
_atom_site_fract_x
_atom_site_fract_y
_atom_site_fract_z
_atom_site_occupancy
Ge1 0.5000 0.5000 0.5000 1
Hg1 0.0000 0.0000 0.0000 1
Zr1 0.2379 0.2379 0.2863 1
Zr2 0.7621 0.7621 0.7137 1
```

Computed properties:
Fermi-level density of states in states/eV/atom: 0.30
Space group: R-3m (166)
E_tot in eV/atom: -5.89
Formation enthalpy at 0 K in eV per atom: -0.386



## LiHo2Sn3Te6 (PBE)

Data for a relaxed structure of LiHo2Sn3Te6.

Cell and atoms, written as CIF:
```
data_LiHo2Sn3Te6
_chemical_formula_sum 'Li1 Ho2 Sn3 Te6'
_space_group_name_H-M_alt 'P 1'
_space_group_IT_number 1
_space_group_name_Hall 'P 1'
_cell_length_a 4.3830
_cell_length_b 9.0618
_cell_length_c 10.0414
_cell_angle_alpha 104.80
_cell_angle_beta 102.61
_cell_angle_gamma 90.00
loop_
_atom_site_label
_atom_site_fract_x
_atom_site_fract_y
_atom_site_fract_z
_atom_site_occupancy
Li1 0.5000 0.0000 0.0000 1
Ho1 0.8334 0.6583 0.6668 1
Ho2 0.1666 0.3417 0.3332 1
Sn1 0.5000 0.5000 0.0000 1
Sn2 0.8410 0.1533 0.6819 1
Sn3 0.1590 0.8467 0.3181 1
Te1 0.3308 0.8988 0.6616 1
Te2 0.6698 0.5844 0.3395 1
Te3 0.6692 0.1012 0.3384 1
Te4 0.0053 0.2429 0.0105 1
Te5 0.9947 0.7571 0.9895 1
Te6 0.3302 0.4156 0.6605 1
```

Computed properties:
Fermi-level density of states in states/eV/atom: 0.33
Space group: C2/m (12)
E_tot in eV/atom: -4.21



## Ag2BO (PBE)

Data for a relaxed structure of Ag2BO.

Cell and atoms, written as CIF:
```
data_Ag2BO
_chemical_formula_sum 'Ag4 B2 O2'
_space_group_name_H-M_alt 'P 1'
_space_group_IT_number 1
_space_group_name_Hall 'P 1'
_cell_length_a 5.6400
_cell_length_b 5.6400
_cell_length_c 5.4093
_cell_angle_alpha 58.58
_cell_angle_beta 58.58
_cell_angle_gamma 90.00
loop_
_atom_site_label
_atom_site_fract_x
_atom_site_fract_y
_atom_site_fract_z
_atom_site_occupancy
B1 0.5000 0.5000 0.0000 1
B2 0.2500 0.7500 0.5000 1
O1 0.0000 0.0000 0.0000 1
O2 0.7500 0.2500 0.5000 1
Ag1 0.6129 0.1250 0.2500 1
Ag2 0.1371 0.6250 0.2500 1
Ag3 0.3750 0.3871 0.7500 1
Ag4 0.8750 0.8629 0.7500 1
```

Computed properties:
Fermi-level density of states in states/eV/atom: 0.66
Space group: I-42d (122)
Energy above the most stable polymorph in this dataset in meV per atom: 0
E_tot in eV/atom: -3.67



## LiSmAg2 (PBE)

Data for a relaxed structure of LiSmAg2.

Cell and atoms, written as CIF:
```
data_LiSmAg2
_chemical_formula_sum 'Li1 Sm1 Ag2'
_space_group_name_H-M_alt 'P 1'
_space_group_IT_number 1
_space_group_name_Hall 'P 1'
_cell_length_a 4.6488
_cell_length_b 4.6488
_cell_length_c 5.4145
_cell_angle_alpha 64.58
_cell_angle_beta 64.58
_cell_angle_gamma 60.00
loop_
_atom_site_label
_atom_site_fract_x
_atom_site_fract_y
_atom_site_fract_z
_atom_site_occupancy
Ag1 0.7822 0.7822 0.6534 1
Ag2 0.2178 0.2178 0.3466 1
Sm1 0.0000 0.0000 0.0000 1
Li1 0.5000 0.5000 0.5000 1
```

Computed properties:
Fermi-level density of states in states/eV/atom: 0.65
Space group: R-3m (166)
Energy above the most stable polymorph in this dataset in meV per atom: 3
E_tot in eV/atom: -3.30
Formation enthalpy at 0 K in eV per atom: -0.218



## Hf2PdSe (PBE)

Data for a relaxed structure of Hf2PdSe.

Cell and atoms, written as CIF:
```
data_Hf2PdSe
_chemical_formula_sum 'Hf2 Pd1 Se1'
_space_group_name_H-M_alt 'P 1'
_space_group_IT_number 1
_space_group_name_Hall 'P 1'
_cell_length_a 3.5002
_cell_length_b 3.5002
_cell_length_c 7.7747
_cell_angle_alpha 76.99
_cell_angle_beta 76.99
_cell_angle_gamma 60.00
loop_
_atom_site_label
_atom_site_fract_x
_atom_site_fract_y
_atom_site_fract_z
_atom_site_occupancy
Hf1 0.0818 0.0818 0.7547 1
Hf2 0.2498 0.2498 0.2507 1
Pd1 0.6689 0.6689 0.9933 1
Se1 0.4996 0.4996 0.5013 1
```

Computed properties:
Fermi-level density of states in states/eV/atom: 0.77
Space group: R3m (160)
E_tot in eV/atom: -7.84